1.
Compound: CsAlF2
Source: Alexandria
Functional: PBE
Structure: relaxed

Cell lengths 7.400, 7.400, 7.400 Å; angles 34.83, 34.83, 34.83 degrees
Sites, in units of the cell vectors:
Cs (0.500, 0.500, 0.500)
Al (0.000, 0.000, 0.000)
F (0.912, 0.912, 0.912)
F (0.088, 0.088, 0.088)

formation energy from raw total energies	-203.0	kJ per mole of atoms
DOS(E_F)	0.1	states/eV/f.u.
calculated volume	29.50	Å³/atom

2.
Compound: YP2SI
Source: Alexandria
Functional: PBE
Structure: relaxed

Cell lengths 5.499, 5.499, 5.067 Å; angles 90.00, 90.00, 90.00 degrees
Sites, in units of the cell vectors:
I (0.500, 0.500, 0.500)
Y (0.000, 0.000, 0.000)
S (0.000, 0.000, 0.500)
P (0.000, 0.500, 0.000)
P (0.500, 0.000, 0.000)

formation energy from raw total energies	38.7	kJ per mole of atoms
DOS(E_F)	6.5	states/eV/f.u.
calculated volume	30.64	Å³/atom

3.
Compound: Ba2ZnW
Source: Alexandria
Functional: PBE
Structure: relaxed

Cell lengths 4.873, 4.873, 8.707 Å; angles 84.20, 84.20, 39.20 degrees
Sites, in units of the cell vectors:
Ba (0.000, 0.000, 0.984)
Ba (0.500, 0.500, 0.516)
W (0.750, 0.750, 0.750)
Zn (0.250, 0.250, 0.250)

energy relative to the elements	1.149	eV/atom
DOS(E_F)	4.7	states/eV/f.u.
calculated volume	32.48	Å³/atom